Here is a relaxed structure of ReGePt3 from the Alexandria database. Energies are from PBE.

Results
Calculated total energy in eV for the cell shown: -29.55
E_form in eV/atom: 1.129
Magnetization in μB/f.u.: 0.0
E above lowest polymorph in eV/f.u.: 0.00

CIF file:
```
data_ReGePt3
_chemical_formula_sum 'Re1 Ge1 Pt3'
_cell_length_a 4.8478
_cell_length_b 4.8478
_cell_length_c 4.8478
_cell_angle_alpha 90.00
_cell_angle_beta 90.00
_cell_angle_gamma 90.00
_space_group_name_H-M_alt 'P m -3 m'
_space_group_IT_number 221
_space_group_name_Hall '-P 4 2 3'
loop_
_atom_site_label
_atom_site_type_symbol
_atom_site_fract_x
_atom_site_fract_y
_atom_site_fract_z
Re1 Re 0.0000 0.0000 0.0000
Ge1 Ge 0.5000 0.5000 0.5000
Pt1 Pt 0.0000 0.0000 0.5000
```